No. 1
# Ba2CrCu

Crystalline Ba2CrCu at its relaxed geometry (PBE, the Alexandria database).

Size of the total moment (Bohr magnetons per cell): 4.6
Calculated formation energy (eV per atom): 0.3542
VASP energy (eV for the cell shown): -16.148
Energy relative to the lowest polymorph listed for this composition (eV/atom): 0.000

a b c (Å): 4.6681 4.8463 6.8149
angles (deg): 69.21 90.00 90.00
Each line ends with the local moment (μB).
Fractional positions:
1 Ba 0.0000 0.9826 0.9097  0.01
2 Ba 0.5000 0.2639 0.3476  0.01
3 Cr 0.0000 0.6765 0.5228  3.90
4 Cu 0.5000 0.5770 0.7199  0.06

No. 2
# BaZr2Sc

Crystalline BaZr2Sc at its relaxed geometry (PBE, the Alexandria database).

Size of the total moment (Bohr magnetons per cell): 0.0
Calculated formation energy (eV per atom): 0.5110
VASP energy (eV for the cell shown): -23.307
Energy relative to the lowest polymorph listed for this composition (eV/atom): 0.229

a b c (Å): 5.7228 5.7228 5.7228
angles (deg): 128.88 128.88 75.21
Fractional positions:
1 Ba 0.5000 0.5000 0.0000
2 Sc 0.7500 0.2500 0.5000
3 Zr 0.0000 0.0000 0.0000
4 Zr 0.2500 0.7500 0.5000

No. 3
# ScCdPOs2

Crystalline ScCdPOs2 at its relaxed geometry (PBE, the Alexandria database).

Size of the total moment (Bohr magnetons per cell): 0.0
Calculated formation energy (eV per atom): 0.2500
VASP energy (eV for the cell shown): -33.866

a b c (Å): 4.4056 4.7461 4.4056
angles (deg): 90.00 90.00 90.00
Fractional positions:
1 Sc 0.0000 0.5000 0.0000
2 P 0.0000 0.0000 0.0000
3 Os 0.0000 0.0000 0.5000
4 Os 0.5000 0.0000 0.0000
5 Cd 0.5000 0.5000 0.5000

No. 4
# LaCrRh

Crystalline LaCrRh at its relaxed geometry (PBE, the Alexandria database).

Size of the total moment (Bohr magnetons per cell): 4.0
Calculated formation energy (eV per atom): 0.6323
VASP energy (eV for the cell shown): -20.005
Energy relative to the lowest polymorph listed for this composition (eV/atom): 0.715

a b c (Å): 4.6282 4.6282 4.6282
angles (deg): 60.00 60.00 60.00
Each line ends with the local moment (μB).
Fractional positions:
1 Cr 0.5000 0.5000 0.5000  -3.58
2 La 0.7500 0.7500 0.7500  -0.07
3 Rh 0.0000 0.0000 0.0000  -0.03